[1]
## CsHfBi2 (PBE-GGA)

Data for a relaxed CsHfBi2 crystal. Values from VASP.

Properties
For the energy above the lowest structure with this stoichiometry, the calculation gives 5 meV/atom. For the formation enthalpy at 0 K, the calculation gives -0.16 eV per atom. The magnetic moment comes out at 0.00 μB/atom. The value obtained for the total energy is -4.80 eV/atom.

```
&SYSTEM
  ibrav = 0, nat = 4, ntyp = 3
/
ATOMIC_SPECIES
Cs 132.91 Cs.upf
Hf 178.49 Hf.upf
Bi 208.98 Bi.upf
CELL_PARAMETERS angstrom
3.5947 0.0000 0.0000
0.0000 3.5947 0.0000
0.0000 0.0000 10.0099
ATOMIC_POSITIONS angstrom
Cs 0.0000 0.0000 0.0000
Hf 0.0000 0.0000 5.0049
Bi 1.7974 1.7974 3.0598
Bi 1.7974 1.7974 6.9501
```

[2]
## Nd14YTm (PBE-GGA)

Data for a relaxed Nd14YTm crystal. Values from VASP.

Properties
For the formation enthalpy at 0 K, the calculation gives 0.01 eV per atom. The magnetic moment comes out at 0.00 μB/atom. The value obtained for the total energy is -4.84 eV/atom.

```
&SYSTEM
  ibrav = 0, nat = 16, ntyp = 3
/
ATOMIC_SPECIES
Nd 144.24 Nd.upf
Y 88.91 Y.upf
Tm 168.93 Tm.upf
CELL_PARAMETERS angstrom
7.3299 0.0000 0.0000
0.0000 7.3299 0.0000
0.0000 0.0000 10.3477
ATOMIC_POSITIONS angstrom
Nd 0.0000 0.0000 0.0000
Nd 0.0000 3.6649 0.0000
Nd 0.0000 3.6649 5.1738
Nd 1.8277 1.8277 2.6106
Nd 1.8277 1.8277 7.7371
Nd 1.8277 5.5021 2.6106
Nd 1.8277 5.5021 7.7371
Nd 3.6649 0.0000 0.0000
Nd 3.6649 0.0000 5.1738
Nd 3.6649 3.6649 0.0000
Nd 5.5021 1.8277 2.6106
Nd 5.5021 1.8277 7.7371
Nd 5.5021 5.5021 2.6106
Nd 5.5021 5.5021 7.7371
Y 3.6649 3.6649 5.1738
Tm 0.0000 0.0000 5.1738
```

[3]
## Zr2TlS (PBE-GGA)

Data for a relaxed Zr2TlS crystal. Values from VASP.

Properties
For the energy above the lowest structure with this stoichiometry, the calculation gives 553 meV/atom. The calculation puts the uncorrected formation energy at -0.256 eV per atom. The magnetic moment comes out at 0.00 μB/atom. The value obtained for the total energy is -6.15 eV/atom.

```
&SYSTEM
  ibrav = 0, nat = 4, ntyp = 3
/
ATOMIC_SPECIES
Zr 91.22 Zr.upf
Tl 204.38 Tl.upf
S 32.06 S.upf
CELL_PARAMETERS angstrom
0.0000 3.4494 3.4494
3.4494 0.0000 3.4494
3.4494 3.4494 0.0000
ATOMIC_POSITIONS angstrom
Zr 1.7247 1.7247 1.7247
Zr 5.1741 5.1741 5.1741
Tl 0.0000 0.0000 0.0000
S 3.4494 3.4494 3.4494
```

> Look up the magnetic moment of the first one.

0.00 μB/atom

> Which formula does entry 3 have?

Zr2TlS